# TmBiPt | Alexandria via LeMat-Bulk | meta-GGA SCAN | PBEsol geometry
data_TmBiPt
_cell_length_a 6.596
_cell_length_b 6.596
_cell_length_c 6.596
_cell_angle_alpha 90.00
_cell_angle_beta 90.00
_cell_angle_gamma 90.00
_symmetry_space_group_name_H-M 'F -4 3 m'
_symmetry_Int_Tables_number 216
_symmetry_space_group_name_Hall 'F -4 2 3'
loop_
_atom_site_label
_atom_site_type_symbol
_atom_site_fract_x
_atom_site_fract_y
_atom_site_fract_z
Tm1 Tm 0.000 0.000 0.000
Bi1 Bi 0.000 0.000 0.500
Pt1 Pt 0.250 0.250 0.750
# ΔH_f (0 K), eV per atom: -1.267
# Calculated volume, Å³/cell: 287
# Energy, eV per atom: -68.14


# Bi3PtW | Alexandria via LeMat-Bulk | meta-GGA SCAN | PBEsol geometry
data_Bi3PtW
_cell_length_a 5.229
_cell_length_b 5.229
_cell_length_c 5.229
_cell_angle_alpha 90.00
_cell_angle_beta 90.00
_cell_angle_gamma 90.00
_symmetry_space_group_name_H-M 'P m -3 m'
_symmetry_Int_Tables_number 221
_symmetry_space_group_name_Hall '-P 4 2 3'
loop_
_atom_site_label
_atom_site_type_symbol
_atom_site_fract_x
_atom_site_fract_y
_atom_site_fract_z
Bi1 Bi 0.000 0.000 0.500
Pt1 Pt 0.500 0.500 0.500
W1 W 0.000 0.000 0.000
# ΔH_f (0 K), eV per atom: 1.155
# Calculated volume, Å³/cell: 143
# Energy, eV per atom: -73.97


# Y5BiPt2 | Alexandria via LeMat-Bulk | meta-GGA SCAN | PBEsol geometry
data_Y5BiPt2
_cell_length_a 7.729
_cell_length_b 7.729
_cell_length_c 13.546
_cell_angle_alpha 90.00
_cell_angle_beta 90.00
_cell_angle_gamma 90.00
_symmetry_space_group_name_H-M 'I 4/m c m'
_symmetry_Int_Tables_number 140
_symmetry_space_group_name_Hall '-I 4 2c'
loop_
_atom_site_label
_atom_site_type_symbol
_atom_site_fract_x
_atom_site_fract_y
_atom_site_fract_z
Y1 Y 0.000 0.000 0.000
Y2 Y 0.157 0.343 0.137
Bi1 Bi 0.000 0.000 0.250
Pt1 Pt 0.137 0.363 0.500
# ΔH_f (0 K), eV per atom: -1.139
# Calculated volume, Å³/cell: 809
# Energy, eV per atom: -45.91


# YBi2Pt | Alexandria via LeMat-Bulk | meta-GGA SCAN | PBEsol geometry
data_YBi2Pt
_cell_length_a 7.246
_cell_length_b 7.246
_cell_length_c 7.246
_cell_angle_alpha 90.00
_cell_angle_beta 90.00
_cell_angle_gamma 90.00
_symmetry_space_group_name_H-M 'F m -3 m'
_symmetry_Int_Tables_number 225
_symmetry_space_group_name_Hall '-F 4 2 3'
loop_
_atom_site_label
_atom_site_type_symbol
_atom_site_fract_x
_atom_site_fract_y
_atom_site_fract_z
Y1 Y 0.000 0.000 0.000
Bi1 Bi 0.250 0.250 0.250
Pt1 Pt 0.000 0.000 0.500
# ΔH_f (0 K), eV per atom: -0.215
# Calculated volume, Å³/cell: 381
# Energy, eV per atom: -64.01


# ZnBiPt3 | Alexandria via LeMat-Bulk | meta-GGA SCAN | PBEsol geometry
data_ZnBiPt3
_cell_length_a 4.611
_cell_length_b 4.611
_cell_length_c 4.611
_cell_angle_alpha 90.00
_cell_angle_beta 90.00
_cell_angle_gamma 90.00
_symmetry_space_group_name_H-M 'P m -3 m'
_symmetry_Int_Tables_number 221
_symmetry_space_group_name_Hall '-P 4 2 3'
loop_
_atom_site_label
_atom_site_type_symbol
_atom_site_fract_x
_atom_site_fract_y
_atom_site_fract_z
Zn1 Zn 0.000 0.000 0.000
Bi1 Bi 0.500 0.500 0.500
Pt1 Pt 0.000 0.000 0.500
# ΔH_f (0 K), eV per atom: 0.525
# Calculated volume, Å³/cell: 98
# Energy, eV per atom: -60.01


# ZrBiPt3 | Alexandria via LeMat-Bulk | meta-GGA SCAN | PBEsol geometry
data_ZrBiPt3
_cell_length_a 4.922
_cell_length_b 4.922
_cell_length_c 4.922
_cell_angle_alpha 90.00
_cell_angle_beta 90.00
_cell_angle_gamma 90.00
_symmetry_space_group_name_H-M 'P m -3 m'
_symmetry_Int_Tables_number 221
_symmetry_space_group_name_Hall '-P 4 2 3'
loop_
_atom_site_label
_atom_site_type_symbol
_atom_site_fract_x
_atom_site_fract_y
_atom_site_fract_z
Zr1 Zr 0.000 0.000 0.000
Bi1 Bi 0.500 0.500 0.500
Pt1 Pt 0.000 0.500 0.500
# ΔH_f (0 K), eV per atom: 0.854
# Calculated volume, Å³/cell: 119
# Energy, eV per atom: -63.12


# Pu4Bi3 | Alexandria via LeMat-Bulk | meta-GGA SCAN | PBEsol geometry
data_Pu4Bi3
_cell_length_a 9.292
_cell_length_b 9.292
_cell_length_c 9.292
_cell_angle_alpha 90.00
_cell_angle_beta 90.00
_cell_angle_gamma 90.00
_symmetry_space_group_name_H-M 'I -4 3 d'
_symmetry_Int_Tables_number 220
_symmetry_space_group_name_Hall 'I -4bd 2c 3'
loop_
_atom_site_label
_atom_site_type_symbol
_atom_site_fract_x
_atom_site_fract_y
_atom_site_fract_z
Pu1 Pu 0.079 0.421 0.579
Bi1 Bi 0.000 0.250 0.875
# ΔH_f (0 K), eV per atom: -0.175
# Calculated volume, Å³/cell: 802
# Energy, eV per atom: -96.79


# RbRe3Bi | Alexandria via LeMat-Bulk | meta-GGA SCAN | PBEsol geometry
data_RbRe3Bi
_cell_length_a 4.744
_cell_length_b 4.744
_cell_length_c 4.744
_cell_angle_alpha 90.00
_cell_angle_beta 90.00
_cell_angle_gamma 90.00
_symmetry_space_group_name_H-M 'P m -3 m'
_symmetry_Int_Tables_number 221
_symmetry_space_group_name_Hall '-P 4 2 3'
loop_
_atom_site_label
_atom_site_type_symbol
_atom_site_fract_x
_atom_site_fract_y
_atom_site_fract_z
Rb1 Rb 0.000 0.000 0.000
Re1 Re 0.000 0.000 0.500
Bi1 Bi 0.500 0.500 0.500
# ΔH_f (0 K), eV per atom: 4.230
# Calculated volume, Å³/cell: 107
# Energy, eV per atom: -58.29


# RbBi2Rh2 | Alexandria via LeMat-Bulk | meta-GGA SCAN | PBEsol geometry
data_RbBi2Rh2
_cell_length_a 4.208
_cell_length_b 4.208
_cell_length_c 15.055
_cell_angle_alpha 90.00
_cell_angle_beta 90.00
_cell_angle_gamma 90.00
_symmetry_space_group_name_H-M 'I 4/m m m'
_symmetry_Int_Tables_number 139
_symmetry_space_group_name_Hall '-I 4 2'
loop_
_atom_site_label
_atom_site_type_symbol
_atom_site_fract_x
_atom_site_fract_y
_atom_site_fract_z
Rb1 Rb 0.000 0.000 0.000
Bi1 Bi 0.000 0.000 0.357
Rh1 Rh 0.000 0.500 0.250
# ΔH_f (0 K), eV per atom: -0.291
# Calculated volume, Å³/cell: 267
# Energy, eV per atom: -49.38


# RbBi2S2 | Alexandria via LeMat-Bulk | meta-GGA SCAN | PBEsol geometry
data_RbBi2S2
_cell_length_a 8.881
_cell_length_b 8.881
_cell_length_c 3.646
_cell_angle_alpha 90.00
_cell_angle_beta 90.00
_cell_angle_gamma 90.00
_symmetry_space_group_name_H-M 'P 4/m b m'
_symmetry_Int_Tables_number 127
_symmetry_space_group_name_Hall '-P 4 2ab'
loop_
_atom_site_label
_atom_site_type_symbol
_atom_site_fract_x
_atom_site_fract_y
_atom_site_fract_z
Rb1 Rb 0.000 0.000 0.000
Bi1 Bi 0.128 0.372 0.000
S1 S 0.218 0.718 0.500
# Raw formation energy, eV per atom: -0.177
# Calculated volume, Å³/cell: 288
# Energy, eV per atom: -39.61


# RbBi2Sb2 | Alexandria via LeMat-Bulk | meta-GGA SCAN | PBEsol geometry
data_RbBi2Sb2
_cell_length_a 5.756
_cell_length_b 5.756
_cell_length_c 11.200
_cell_angle_alpha 90.00
_cell_angle_beta 90.00
_cell_angle_gamma 90.00
_symmetry_space_group_name_H-M 'I 4/m m m'
_symmetry_Int_Tables_number 139
_symmetry_space_group_name_Hall '-I 4 2'
loop_
_atom_site_label
_atom_site_type_symbol
_atom_site_fract_x
_atom_site_fract_y
_atom_site_fract_z
Rb1 Rb 0.000 0.000 0.000
Bi1 Bi 0.000 0.000 0.352
Sb1 Sb 0.000 0.500 0.250
# Raw formation energy, eV per atom: -0.184
# Calculated volume, Å³/cell: 371
# Energy, eV per atom: -50.67


# Rb2BiSb2 | Alexandria via LeMat-Bulk | meta-GGA SCAN | PBEsol geometry
data_Rb2BiSb2
_cell_length_a 4.899
_cell_length_b 4.899
_cell_length_c 15.170
_cell_angle_alpha 90.00
_cell_angle_beta 90.00
_cell_angle_gamma 90.00
_symmetry_space_group_name_H-M 'I 4/m m m'
_symmetry_Int_Tables_number 139
_symmetry_space_group_name_Hall '-I 4 2'
loop_
_atom_site_label
_atom_site_type_symbol
_atom_site_fract_x
_atom_site_fract_y
_atom_site_fract_z
Rb1 Rb 0.000 0.500 0.250
Bi1 Bi 0.000 0.000 0.000
Sb1 Sb 0.000 0.000 0.412
# Energy above the most stable polymorph in this dataset, eV/atom: 0.544
# Raw formation energy, eV per atom: 0.179
# Calculated volume, Å³/cell: 364
# Energy, eV per atom: -38.74